Ca4Ac3Pm GGA-PBE optimized geometry; DOS(E_F) = 20.9 states/eV per cell; formation energy from the elements = 0.0242 eV/atom
1.0
5.543 0.000 0.000
0.000 11.079 0.000
0.000 0.000 11.016
Ca Ac Pm
8 6 2
Direct
0.250 0.003 0.126 Ca
0.250 0.250 0.878 Ca
0.250 0.497 0.126 Ca
0.250 0.750 0.871 Ca
0.750 0.250 0.129 Ca
0.750 0.503 0.874 Ca
0.750 0.750 0.122 Ca
0.750 0.997 0.874 Ca
0.250 0.502 0.619 Ac
0.250 0.750 0.381 Ac
0.250 0.998 0.619 Ac
0.750 0.002 0.381 Ac
0.750 0.250 0.619 Ac
0.750 0.498 0.381 Ac
0.250 0.250 0.385 Pm
0.750 0.750 0.615 Pm

---

Ca2Ac6Pm GGA-PBE optimized geometry; ΔE to the lowest computed polymorph = 217 meV/atom; DOS(E_F) = 15.8 states/eV per cell; formation energy from the elements = 0.2938 eV/atom
1.0
4.227 -8.299 0.000
4.227 8.299 0.000
0.000 0.000 5.864
Ca Ac Pm
2 6 1
Direct
0.221 0.779 0.000 Ca
0.779 0.221 0.000 Ca
0.145 0.430 0.500 Ac
0.260 0.260 0.000 Ac
0.430 0.145 0.500 Ac
0.570 0.855 0.500 Ac
0.740 0.740 0.000 Ac
0.855 0.570 0.500 Ac
0.000 0.000 0.500 Pm

---

Energy readings, ordered: -3.111; -3.418 eV per atom